{"formula": "AgTe2Pt", "functional": "PBE", "state": "optimized geometry", "cell": [[3.492, -2.017, 0.000], [3.492, 2.017, 0.000], [-0.020, 0.000, 7.520]], "species": ["Ag", "Te", "Te", "Pt"], "frac_coords": [[0.000, 0.000, 0.000], [0.003, 0.003, 0.635], [0.336, 0.336, 0.253], [0.669, 0.669, 0.455]], "sg": "Cm, No. 8", "e_form_raw_ev_per_fu": -0.6}

=====

{"formula": "AgTePt3", "functional": "PBE", "state": "optimized geometry", "cell": [[4.890, 0.000, 0.000], [0.000, 4.890, 0.000], [0.000, 0.000, 4.890]], "species": ["Ag", "Te", "Pt", "Pt", "Pt"], "frac_coords": [[0.000, 0.000, 0.000], [0.500, 0.500, 0.500], [0.000, 0.000, 0.500], [0.000, 0.500, 0.000], [0.500, 0.000, 0.000]], "sg": "Pm-3m, No. 221", "e_form_raw_ev_per_fu": 6.4}

=====

{"formula": "AgTe4Pt", "functional": "PBE", "state": "optimized geometry", "cell": [[0.000, 4.379, 4.379], [4.379, 0.000, 4.379], [4.379, 4.379, 0.000]], "species": ["Ag", "Te", "Te", "Te", "Te", "Pt"], "frac_coords": [[0.000, 0.000, 0.000], [0.376, 0.376, 0.376], [0.376, 0.376, 0.872], [0.376, 0.872, 0.376], [0.872, 0.376, 0.376], [0.750, 0.750, 0.750]], "sg": "F-43m, No. 216", "e_form_raw_ev_per_fu": 5.0}

=====

{"formula": "AgTePt3", "functional": "PBE", "state": "optimized geometry", "cell": [[4.948, 0.000, 0.000], [0.000, 4.948, 0.000], [0.000, 0.000, 4.948]], "species": ["Ag", "Te", "Pt", "Pt", "Pt"], "frac_coords": [[0.000, 0.000, 0.000], [0.500, 0.500, 0.500], [0.000, 0.500, 0.500], [0.500, 0.000, 0.500], [0.500, 0.500, 0.000]], "sg": "Pm-3m, No. 221", "e_form_raw_ev_per_fu": 3.7}

=====

{"formula": "AgTe4Pt", "functional": "PBE", "state": "optimized geometry", "cell": [[6.367, -2.055, 0.000], [6.367, 2.055, 0.000], [-4.139, 0.000, 6.089]], "species": ["Ag", "Te", "Te", "Te", "Te", "Pt"], "frac_coords": [[0.000, 0.000, 0.000], [0.128, 0.128, 0.787], [0.355, 0.355, 0.663], [0.645, 0.645, 0.337], [0.872, 0.872, 0.213], [0.500, 0.500, 0.500]], "sg": "C2/m, No. 12", "e_form_raw_ev_per_fu": -1.1}

=====

{"formula": "AgTe2Pt", "functional": "PBE", "state": "optimized geometry", "cell": [[-1.785, 2.136, 6.218], [1.785, -2.136, 6.218], [1.785, 2.136, -6.218]], "species": ["Ag", "Te", "Te", "Pt"], "frac_coords": [[0.000, 0.000, 0.000], [0.381, 0.381, 0.000], [0.658, 0.158, 0.500], [0.214, 0.714, 0.500]], "sg": "Imm2, No. 44", "e_form_raw_ev_per_fu": 0.2}

=====

{"formula": "AgTe8Pt4", "functional": "PBE", "state": "optimized geometry", "cell": [[0.000, 5.731, 5.731], [5.731, 0.000, 5.731], [5.731, 5.731, 0.000]], "species": ["Ag", "Te", "Te", "Te", "Te", "Te", "Te", "Te", "Te", "Pt", "Pt", "Pt", "Pt"], "frac_coords": [[0.000, 0.000, 0.000], [0.388, 0.388, 0.388], [0.388, 0.388, 0.837], [0.388, 0.837, 0.388], [0.419, 0.860, 0.860], [0.837, 0.388, 0.388], [0.860, 0.419, 0.860], [0.860, 0.860, 0.419], [0.860, 0.860, 0.860], [0.131, 0.623, 0.623], [0.623, 0.131, 0.623], [0.623, 0.623, 0.131], [0.623, 0.623, 0.623]], "sg": "F-43m, No. 216", "e_form_raw_ev_per_fu": -4.3}

=====

{"formula": "AgTe3Pt2", "functional": "PBE", "state": "optimized geometry", "cell": [[8.024, 0.000, 0.000], [-4.012, 6.949, 0.000], [0.000, 0.000, 5.329]], "species": ["Ag", "Ag", "Te", "Te", "Te", "Te", "Te", "Te", "Pt", "Pt", "Pt", "Pt"], "frac_coords": [[0.333, 0.667, 0.177], [0.667, 0.333, 0.823], [0.174, 0.348, 0.749], [0.174, 0.826, 0.749], [0.348, 0.174, 0.251], [0.652, 0.826, 0.749], [0.826, 0.174, 0.251], [0.826, 0.652, 0.251], [0.000, 0.000, 0.500], [0.000, 0.500, 0.500], [0.500, 0.000, 0.500], [0.500, 0.500, 0.500]], "sg": "P-3m1, No. 164", "e_form_raw_ev_per_fu": -1.7}

=====

{"formula": "AgTe2Pt", "functional": "PBE", "state": "optimized geometry", "cell": [[3.328, 0.000, 0.000], [0.000, 3.328, 0.000], [0.000, 0.000, 8.030]], "species": ["Ag", "Te", "Te", "Pt"], "frac_coords": [[0.000, 0.000, 0.000], [0.500, 0.500, 0.271], [0.500, 0.500, 0.729], [0.000, 0.000, 0.500]], "sg": "P4/mmm, No. 123", "e_form_raw_ev_per_fu": 1.0}

=====

{"formula": "AgTe2Pt", "functional": "PBE", "state": "optimized geometry", "cell": [[4.057, 0.000, 0.000], [0.000, 4.235, 0.000], [-0.152, 0.000, 6.289]], "species": ["Ag", "Te", "Te", "Pt"], "frac_coords": [[0.000, 0.000, 0.000], [0.493, 0.500, 0.972], [0.961, 0.000, 0.448], [0.982, 0.500, 0.694]], "sg": "Pm, No. 6", "e_form_raw_ev_per_fu": -0.1}

=====

{"formula": "Ag2TePt2", "functional": "PBE", "state": "optimized geometry", "cell": [[6.937, 0.000, 0.000], [0.000, 6.937, 0.000], [0.000, 0.000, 4.042]], "species": ["Ag", "Ag", "Ag", "Ag", "Te", "Te", "Pt", "Pt", "Pt", "Pt"], "frac_coords": [[0.154, 0.346, 0.000], [0.346, 0.846, 0.000], [0.654, 0.154, 0.000], [0.846, 0.654, 0.000], [0.000, 0.000, 0.500], [0.500, 0.500, 0.500], [0.142, 0.642, 0.500], [0.358, 0.142, 0.500], [0.642, 0.858, 0.500], [0.858, 0.358, 0.500]], "sg": "P4/mbm, No. 127", "e_form_raw_ev_per_fu": 0.3}

=====

{"formula": "AgTe2Pt", "functional": "PBE", "state": "optimized geometry", "cell": [[-2.087, 2.087, 5.070], [2.087, -2.087, 5.070], [2.087, 2.087, -5.070]], "species": ["Ag", "Te", "Te", "Pt"], "frac_coords": [[0.000, 0.000, 0.000], [0.500, 0.500, 0.000], [0.750, 0.250, 0.500], [0.250, 0.750, 0.500]], "sg": "I-4m2, No. 119", "e_form_raw_ev_per_fu": 1.0}

=====

{"formula": "AgTe2Pt", "functional": "PBE", "state": "optimized geometry", "cell": [[5.091, 0.000, 0.000], [0.000, 3.948, 0.000], [-1.511, 0.000, 4.873]], "species": ["Ag", "Te", "Te", "Pt"], "frac_coords": [[0.000, 0.000, 0.000], [0.280, 0.500, 0.720], [0.720, 0.500, 0.280], [0.500, 0.000, 0.500]], "sg": "P2/m, No. 10", "e_form_raw_ev_per_fu": -0.3}

=====

{"formula": "AgTe2Pt", "functional": "PBE", "state": "optimized geometry", "cell": [[2.056, 1.187, 6.669], [-2.056, 1.187, 6.669], [0.000, -2.374, 6.669]], "species": ["Ag", "Te", "Te", "Pt"], "frac_coords": [[0.000, 0.000, 0.000], [0.263, 0.263, 0.263], [0.466, 0.466, 0.466], [0.740, 0.740, 0.740]], "sg": "R3m, No. 160", "e_form_raw_ev_per_fu": -0.2}

=====

{"formula": "AgTe2Pt", "functional": "PBE", "state": "optimized geometry", "cell": [[0.000, 3.520, 3.520], [3.520, 0.000, 3.520], [3.520, 3.520, 0.000]], "species": ["Ag", "Te", "Te", "Pt"], "frac_coords": [[0.000, 0.000, 0.000], [0.250, 0.250, 0.250], [0.750, 0.750, 0.750], [0.500, 0.500, 0.500]], "sg": "Fm-3m, No. 225", "e_form_raw_ev_per_fu": 1.1}

=====

{"formula": "AgTe2Pt", "functional": "PBE", "state": "optimized geometry", "cell": [[1.936, -3.142, 0.000], [1.936, 3.142, 0.000], [0.000, 0.000, 8.209]], "species": ["Ag", "Te", "Te", "Pt"], "frac_coords": [[0.000, 0.000, 0.000], [0.500, 0.500, 0.277], [0.500, 0.500, 0.723], [0.000, 0.000, 0.500]], "sg": "Cmmm, No. 65", "e_form_raw_ev_per_fu": 0.7}

=====

{"formula": "ZnAg2TePt", "functional": "PBE", "state": "optimized geometry", "cell": [[4.748, 0.000, 0.000], [0.000, 4.748, 0.000], [0.000, 0.000, 5.081]], "species": ["Zn", "Ag", "Ag", "Te", "Pt"], "frac_coords": [[0.000, 0.000, 0.000], [0.000, 0.500, 0.000], [0.500, 0.000, 0.000], [0.000, 0.000, 0.500], [0.500, 0.500, 0.500]], "sg": "P4/mmm, No. 123", "e_form_raw_ev_per_fu": 3.7}

=====

{"formula": "Zr2AgTePt", "functional": "PBE", "state": "optimized geometry", "cell": [[5.149, 0.000, 0.000], [0.000, 5.149, 0.000], [0.000, 0.000, 4.877]], "species": ["Zr", "Zr", "Ag", "Te", "Pt"], "frac_coords": [[0.000, 0.500, 0.000], [0.500, 0.000, 0.000], [0.000, 0.000, 0.000], [0.500, 0.500, 0.500], [0.000, 0.000, 0.500]], "sg": "P4/mmm, No. 123", "e_form_raw_ev_per_fu": 3.2}

=====

{"formula": "ThAgPt2", "functional": "PBE", "state": "optimized geometry", "cell": [[4.583, 0.000, 0.000], [0.000, 4.583, 0.000], [0.000, 0.000, 3.857]], "species": ["Th", "Ag", "Pt", "Pt"], "frac_coords": [[0.000, 0.000, 0.000], [0.500, 0.500, 0.000], [0.000, 0.500, 0.500], [0.500, 0.000, 0.500]], "sg": "P4/mmm, No. 123", "formation_enthalpy_0k_kj_per_mol_atoms": -68}

=====

{"formula": "ThAg3Pt8", "functional": "PBE", "state": "optimized geometry", "cell": [[2.685, 1.550, 8.759], [-2.685, 1.550, 8.759], [0.000, -3.100, 8.759]], "species": ["Th", "Ag", "Ag", "Ag", "Pt", "Pt", "Pt", "Pt", "Pt", "Pt", "Pt", "Pt"], "frac_coords": [[0.000, 0.000, 0.000], [0.389, 0.389, 0.389], [0.504, 0.504, 0.504], [0.871, 0.871, 0.871], [0.188, 0.188, 0.188], [0.437, 0.437, 0.938], [0.437, 0.938, 0.437], [0.438, 0.938, 0.938], [0.688, 0.688, 0.688], [0.938, 0.437, 0.437], [0.938, 0.438, 0.938], [0.938, 0.938, 0.438]], "sg": "R3m, No. 160", "formation_enthalpy_0k_kj_per_mol_atoms": -38}